The following is a PBE calculation of an optimized crystal structure of BaNaGaAg, from Alexandria.

a b c (Å): 5.5140 5.5140 5.5140
angles (deg): 60.00 60.00 60.00
Fractional coordinates of all 4 atoms:
1 Ba 0.7500 0.7500 0.7500
2 Ga 0.5000 0.5000 0.5000
3 Na 0.2500 0.2500 0.2500
4 Ag 0.0000 0.0000 0.0000

* crystal system: cubic
* calculated formation energy: -0.30 eV per formula unit
* V: 29.64 A^3/atom
* DOS at the Fermi energy: 0.92 states/eV/atom


The following is a PBE calculation of an optimized crystal structure of Ba2GaNiAg, from Alexandria.

a b c (Å): 5.9668 5.9668 4.6085
angles (deg): 90.00 90.00 90.00
Fractional coordinates of all 5 atoms:
1 Ba 0.5000 0.0000 0.0000
2 Ba 0.0000 0.5000 0.0000
3 Ga 0.0000 0.0000 0.5000
4 Ni 0.0000 0.0000 0.0000
5 Ag 0.5000 0.5000 0.5000

* crystal system: tetragonal
* calculated formation energy: -0.83 eV per formula unit
* V: 32.81 A^3/atom
* DOS at the Fermi energy: 0.81 states/eV/atom


The following is a PBE calculation of an optimized crystal structure of Ba2GaAgO4, from Alexandria.

a b c (Å): 5.7113 5.7113 5.7113
angles (deg): 104.44 112.05 112.05
Fractional coordinates of all 8 atoms:
1 Ba 0.0000 0.0000 0.0000
2 Ba 0.5000 0.7500 0.2500
3 O 0.0261 0.1907 0.5407
4 O 0.3501 0.8355 0.8093
5 O 0.9739 0.5146 0.1645
6 O 0.6499 0.4593 0.4854
7 Ag 0.5000 0.2500 0.7500
8 Ga 0.0000 0.5000 0.5000

* crystal system: tetragonal
* V: 17.82 A^3/atom
* energy: -5.49 eV per atom


The following is a PBE calculation of an optimized crystal structure of BaGa2AgO, from Alexandria.

a b c (Å): 4.6847 6.8460 4.6847
angles (deg): 90.00 90.00 90.00
Fractional coordinates of all 5 atoms:
1 Ga 0.0000 0.0000 0.5000
2 Ga 0.5000 0.0000 0.0000
3 O 0.5000 0.5000 0.5000
4 Ag 0.0000 0.0000 0.0000
5 Ba 0.0000 0.5000 0.0000

* crystal system: tetragonal
* V: 30.05 A^3/atom
* energy: -3.23 eV per atom
* DOS at the Fermi energy: 0.71 states/eV/atom


> Which value of V does entry 1 give?

29.64 A^3/atom


> Number 4 is which compound?

BaGa2AgO


> Which formula does entry 1 have?

BaNaGaAg


> Which value of V does entry 1 give?

29.64 A^3/atom